First-principles (PBE) data for a relaxed CrGaMo3 crystal, as listed in Alexandria via LeMat-Bulk.

Summary:
* ΔH_f (0 K): 5.674 eV per formula unit
* energy relative to the lowest polymorph listed for this composition: 0 meV/atom
* SG: Pm-3m
* N(E_F): 5.631 states/eV/cell

```
data_CrGaMo3
_chemical_formula_sum 'Cr1 Ga1 Mo3'
_space_group_name_H-M_alt 'P 1'
_space_group_IT_number 1
_cell_length_a 4.4808
_cell_length_b 4.4808
_cell_length_c 4.4808
_cell_angle_alpha 90.00
_cell_angle_beta 90.00
_cell_angle_gamma 90.00
loop_
_space_group_symop_operation_xyz
'x,y,z'
loop_
_atom_site_label
_atom_site_type_symbol
_atom_site_fract_x
_atom_site_fract_y
_atom_site_fract_z
_atom_site_occupancy
Mo1 Mo 0.5000 0.0000 0.0000 1
Mo2 Mo 0.0000 0.0000 0.5000 1
Mo3 Mo 0.0000 0.5000 0.0000 1
Ga1 Ga 0.5000 0.5000 0.5000 1
Cr1 Cr 0.0000 0.0000 0.0000 1
```

=====

First-principles (PBE) data for a relaxed SrTaAl2O crystal, as listed in Alexandria via LeMat-Bulk.

Summary:
* SG: P4/mmm
* N(E_F): 3.423 states/eV/cell
* formation energy (no corrections): -0.198 eV per atom

```
data_SrTaAl2O
_chemical_formula_sum 'Sr1 Ta1 Al2 O1'
_space_group_name_H-M_alt 'P 1'
_space_group_IT_number 1
_cell_length_a 4.9314
_cell_length_b 4.1060
_cell_length_c 4.9314
_cell_angle_alpha 90.00
_cell_angle_beta 90.00
_cell_angle_gamma 90.00
loop_
_space_group_symop_operation_xyz
'x,y,z'
loop_
_atom_site_label
_atom_site_type_symbol
_atom_site_fract_x
_atom_site_fract_y
_atom_site_fract_z
_atom_site_occupancy
Al1 Al 0.0000 0.0000 0.5000 1
Al2 Al 0.5000 0.0000 0.0000 1
O1 O 0.0000 0.0000 0.0000 1
Ta1 Ta 0.0000 0.5000 0.0000 1
Sr1 Sr 0.5000 0.5000 0.5000 1
```

=====

First-principles (PBE) data for a relaxed PrTlRh2 crystal, as listed in Alexandria via LeMat-Bulk.

Summary:
* ΔH_f (0 K): -1.630 eV per formula unit
* SG: P4/mmm
* N(E_F): 1.752 states/eV/cell

```
data_PrTlRh2
_chemical_formula_sum 'Pr1 Tl1 Rh2'
_space_group_name_H-M_alt 'P 1'
_space_group_IT_number 1
_cell_length_a 3.7572
_cell_length_b 4.6078
_cell_length_c 4.6078
_cell_angle_alpha 90.00
_cell_angle_beta 90.00
_cell_angle_gamma 90.00
loop_
_space_group_symop_operation_xyz
'x,y,z'
loop_
_atom_site_label
_atom_site_type_symbol
_atom_site_fract_x
_atom_site_fract_y
_atom_site_fract_z
_atom_site_occupancy
Rh1 Rh 0.0000 0.5000 0.0000 1
Rh2 Rh 0.0000 0.0000 0.5000 1
Pr1 Pr 0.5000 0.5000 0.5000 1
Tl1 Tl 0.5000 0.0000 0.0000 1
```